## CdC2 (PBE)

Data for a geometry-optimized CdC2 structure.

Cell lengths 2.602, 13.165, 6.505 Å; angles 90.00, 90.00, 90.00 degrees
Space group Imma (No. 74)
Asymmetric unit:
Cd1 0.000 0.250 0.008
C1 0.000 0.006 0.750

The calculation puts the electronic total energy at -5.657 eV per atom. For the formation enthalpy at 0 K, the calculation gives 797.6 meV per atom. For the density of states at the Fermi level, the calculation gives 0.82 states/eV/f.u.